Entry 1:
{
  "formula": "Li6PmCd6",
  "functional": "PBE-GGA",
  "state": "relaxed",
  "lattice_angstrom": [[-2.6543, 4.9343, 4.9684], [2.6543, -4.9343, 4.9684], [2.6543, 4.9343, -4.9684]],
  "species": ["Li", "Li", "Li", "Li", "Li", "Li", "Pm", "Cd", "Cd", "Cd", "Cd", "Cd", "Cd"],
  "fractional_positions": [[0.0000, 0.0000, 0.5000], [0.0000, 0.5000, 0.0000], [0.2256, 0.2256, 0.0000], [0.5000, 0.0000, 0.0000], [0.5000, 0.5000, 0.5000], [0.7744, 0.7744, 0.0000], [0.0000, 0.5000, 0.5000], [0.1958, 0.0000, 0.1958], [0.3437, 0.8437, 0.5000], [0.3486, 0.5000, 0.8486], [0.6514, 0.5000, 0.1514], [0.6563, 0.1563, 0.5000], [0.8042, 0.0000, 0.8042]],
  "dft_energy_ev_per_atom": -1.882
}

=====

Entry 2:
{
  "formula": "Ca2CuH6Os",
  "functional": "PBE-GGA",
  "state": "relaxed",
  "lattice_angstrom": [[5.0402, 0.0000, 0.0000], [-2.5201, 4.3650, 0.0000], [0.0000, 0.0000, 5.0991]],
  "species": ["Ca", "Ca", "Cu", "H", "H", "H", "H", "H", "H", "Os"],
  "fractional_positions": [[0.3333, 0.6667, 0.2198], [0.6667, 0.3333, 0.7802], [0.0000, 0.0000, 0.5000], [0.1603, 0.3206, 0.7936], [0.1603, 0.8397, 0.7936], [0.3206, 0.1603, 0.2064], [0.6794, 0.8397, 0.7936], [0.8397, 0.1603, 0.2064], [0.8397, 0.6794, 0.2064], [0.0000, 0.0000, 0.0000]],
  "dft_energy_ev_per_atom": -4.285
}

=====

Entry 3:
{
  "formula": "Sr2LaCu",
  "functional": "PBE-GGA",
  "state": "relaxed",
  "lattice_angstrom": [[4.5280, 0.0000, 0.0000], [0.0000, 5.4575, 0.0000], [0.0000, 0.0000, 5.6813]],
  "species": ["Sr", "Sr", "La", "Cu"],
  "fractional_positions": [[0.0000, 0.0000, 0.0000], [0.5000, 0.5000, 0.0000], [0.0000, 0.5000, 0.5000], [0.5000, 0.0000, 0.5000]],
  "dft_energy_ev_per_atom": -2.786,
  "polymorph_energy_ev_per_atom": 0.296
}

=====

Entry 4:
{
  "formula": "BeCuW3",
  "functional": "PBE-GGA",
  "state": "relaxed",
  "lattice_angstrom": [[4.2029, 0.0000, 0.0000], [0.0000, 4.2029, 0.0000], [0.0000, 0.0000, 4.2029]],
  "species": ["Be", "Cu", "W", "W", "W"],
  "fractional_positions": [[0.0000, 0.0000, 0.0000], [0.5000, 0.5000, 0.5000], [0.0000, 0.0000, 0.5000], [0.0000, 0.5000, 0.0000], [0.5000, 0.0000, 0.0000]],
  "dft_energy_ev_per_atom": -8.360,
  "polymorph_energy_ev_per_atom": 0.000
}